Entry 1:
RhS2I: optimized geometry, PBE-GGA.

Cell lengths 3.7288, 3.7288, 22.4021 Å; angles 90.00, 90.00, 120.00 degrees
Closest atoms and distances in Å follow each position.
Space group R-3m (No. 166, hexagonal axes)
One atom of each set of equivalent atoms:
Rh: 0.0000 0.0000 0.0000  6 S 2.42
S: 0.0000 0.0000 0.3825  3 Rh 2.42, 1 I 2.63
I: 0.0000 0.0000 0.5000  2 S 2.63

Calculated values
The value obtained for the raw total energy is -4.507 eV per atom. The calculation puts the total moment at 0.00 μB per formula unit. The value obtained for the formation energy (no corrections) is -0.218 eV/atom.

=====

Entry 2:
Er3Mg2Zr: optimized geometry, PBE-GGA.

Cell lengths 3.4327, 3.4327, 13.6760 Å; angles 90.00, 90.00, 90.00 degrees
Closest atoms and distances in Å follow each position.
Space group P4/mmm (No. 123)
One atom of each set of equivalent atoms:
Er: 0.0000 0.0000 0.0000  8 Mg 3.31, 4 Er 3.43
Er: 0.0000 0.0000 0.3364  4 Zr 3.30, 4 Mg 3.38, 4 Er 3.43
Mg: 0.5000 0.5000 0.1645  8 Er 3.31-3.38, 4 Mg 3.43
Zr: 0.5000 0.5000 0.5000  8 Er 3.30, 4 Zr 3.43

Calculated values
The value obtained for the raw total energy is -4.262 eV per atom. The calculation puts the formation enthalpy at 0 K at -0.02 eV/atom. The calculation puts the total moment at 0.00 μB per formula unit.

=====

Entry 3:
Mg2GaP2Ir5: optimized geometry, PBE-GGA.

Cell lengths 9.3662, 9.3662, 3.4054 Å; angles 90.00, 90.00, 90.00 degrees
Closest atoms and distances in Å follow each position.
Space group P4/mbm (No. 127)
One atom of each set of equivalent atoms:
Mg: 0.1721 0.3279 0.0000  3 P 2.63-2.85, 2 Ir 2.85
Ga: 0.0000 0.0000 0.0000  8 Ir 2.68
P: 0.1291 0.6291 0.0000  6 Ir 2.35-2.41
Ir: 0.0000 0.5000 0.5000  4 P 2.41
Ir: 0.0731 0.7922 0.5000  2 P 2.35

Calculated values
The value obtained for the raw total energy is -6.600 eV per atom. The calculation puts the formation enthalpy at 0 K at -0.47 eV/atom. The calculation puts the total moment at 0.00 μB per formula unit.

=====

Entry 4:
Y2GaTe2: optimized geometry, PBE-GGA.

Cell lengths 8.1937, 8.1937, 4.1351 Å; angles 90.00, 90.00, 90.00 degrees
Closest atoms and distances in Å follow each position.
Space group P4/mbm (No. 127)
One atom of each set of equivalent atoms:
Y: 0.1575 0.3425 0.0000  6 Te 3.06-3.25, 2 Ga 3.09
Ga: 0.0000 0.0000 0.0000  4 Y 3.09
Te: 0.1477 0.6477 0.5000  6 Y 3.06-3.25, 1 Te 3.42

Calculated values
The value obtained for the raw total energy is -5.352 eV per atom. The calculation puts the total moment at 0.00 μB per formula unit. The value obtained for the formation energy (no corrections) is -0.904 eV/atom.